KNaCeCl6 | GGA-PBE | relaxed

ΔE_f (raw): -1.96 eV/atom
crystal system: trigonal
SG: No. 163
total magnetic moment: 0.00 μB/cell

a = 7.188 Å, b = 7.188 Å, c = 13.469 Å
α = 90.00°, β = 90.00°, γ = 120.00°
Fractional coordinates of all 18 atoms:
1 K 0.000 0.000 0.000
2 K 0.000 0.000 0.500
3 Na 0.333 0.667 0.250
4 Na 0.667 0.333 0.750
5 Ce 0.333 0.667 0.750
6 Ce 0.667 0.333 0.250
7 Cl 0.021 0.375 0.638
8 Cl 0.021 0.646 0.862
9 Cl 0.354 0.375 0.862
10 Cl 0.354 0.979 0.638
11 Cl 0.375 0.021 0.138
12 Cl 0.375 0.354 0.362
13 Cl 0.625 0.646 0.638
14 Cl 0.625 0.979 0.862
15 Cl 0.646 0.021 0.362
16 Cl 0.646 0.625 0.138
17 Cl 0.979 0.354 0.138
18 Cl 0.979 0.625 0.362